Here is a relaxed structure of Mn2BeInH from Alexandria. Energies are from GGA-PBE.

```
Mn2BeInH
1.0
4.7507 0.0000 0.0000
0.0000 4.7507 0.0000
0.0000 0.0000 3.0317
Mn Be In H
2 1 1 1
Cartesian
0.0000 2.3754 0.0000
2.3754 0.0000 0.0000
0.0000 0.0000 0.0000
2.3754 2.3754 1.5159
0.0000 0.0000 1.5159
```

For the density, the calculation gives 5.7 Mg/m³. Its total energy is -24.89 eV per cell. The space group is P4/mmm (123).

=====

Here is a relaxed structure of AlZn3Ga2 from Alexandria. Energies are from GGA-PBE.

```
AlZn3Ga2
1.0
2.8255 0.0000 0.0000
-1.4128 2.4470 0.0000
0.0000 0.0000 28.6658
Al Zn Ga
2 6 4
Cartesian
0.0000 0.0000 7.1665
0.0000 0.0000 21.4994
0.0000 0.0000 0.0000
0.0000 0.0000 14.3329
0.0000 1.6313 4.8034
0.0000 1.6313 9.5295
1.4128 0.8157 19.1363
1.4128 0.8157 23.8624
0.0000 1.6313 16.7456
0.0000 1.6313 26.2531
1.4128 0.8157 2.4127
1.4128 0.8157 11.9202
```

The value obtained for the relative energy among the computed polymorphs is 0.000 eV per atom. The calculation puts the calculated formation energy at 0.0541 eV per atom. For the density, the calculation gives 6.1 Mg/m³. The space group is P6_3/mmc (194).

=====

Here is a relaxed structure of Pm2Pr12Y5 from Alexandria. Energies are from GGA-PBE.

```
Pm2Pr12Y5
1.0
9.0956 -5.9441 0.0000
9.0956 5.9441 0.0000
-1.3432 0.0000 6.1673
Pm Pr Y
2 12 5
Cartesian
9.0956 3.2159 0.0000
9.0956 -3.2159 0.0000
4.4291 2.8747 4.9395
0.8589 0.0000 6.1659
6.6845 2.9832 2.3696
10.1635 2.9832 3.7976
7.1082 0.0000 4.4786
12.4189 2.8747 1.2278
4.4291 -2.8747 4.9395
9.7398 0.0000 1.6886
6.6845 -2.9832 2.3696
10.1635 -2.9832 3.7976
15.9891 0.0000 0.0014
12.4189 -2.8747 1.2278
-0.6716 0.0000 3.0836
3.1756 0.0000 3.4006
5.6840 0.0000 0.8696
11.1640 0.0000 5.2977
13.6723 0.0000 2.7666
```

The value obtained for the relative energy among the computed polymorphs is 0.000 eV per atom. The calculation puts the calculated formation energy at 0.0896 eV per atom. For the density, the calculation gives 6.0 Mg/m³. The space group is C2/m (12).

=====

Here is a relaxed structure of Zn2Te from Alexandria. Energies are from GGA-PBE.

```
Zn2Te
1.0
3.7258 -2.0189 0.0000
3.7258 2.0189 0.0000
-0.7643 0.0000 4.7052
Zn Te
2 1
Cartesian
1.3299 0.0000 1.5334
5.3575 0.0000 3.1719
3.7258 0.0000 0.0000
```

The value obtained for the relative energy among the computed polymorphs is 0.118 eV per atom. For the density, the calculation gives 6.1 Mg/m³. The calculation puts the energy relative to the elements, uncorrected at -0.01 eV/f.u. The space group is C2/m (12).